(1)
SbPtSe | GGA-PBEsol | relaxed

abc: 6.327 6.327 6.327
angles: 90.00 90.00 90.00
Sites, in units of the cell vectors:
Pt  0.754  0.754  0.754
Se  0.631  0.869  0.131
Sb  0.377  0.877  0.623
Se  0.869  0.131  0.631
Pt  0.246  0.254  0.746
Sb  0.623  0.377  0.877
Se  0.131  0.631  0.869
Sb  0.877  0.623  0.377
Pt  0.254  0.746  0.246
Se  0.369  0.369  0.369
Pt  0.746  0.246  0.254
Sb  0.123  0.123  0.123

Summary:
* energy relative to the elements, uncorrected: -0.454 eV per atom
* uncorrected energy: -5.578 eV/atom

---

(2)
SbPtSe | GGA-PBEsol | relaxed

abc: 3.877 3.877 4.882
angles: 90.00 90.00 120.00
Sites, in units of the cell vectors:
Se  0.333  0.667  0.272
Pt  0.000  0.000  0.006
Sb  0.667  0.333  0.722

Summary:
* energy relative to the elements, uncorrected: -0.380 eV per atom
* uncorrected energy: -5.504 eV/atom

---

(3)
Sb2Pt2Se | GGA-PBEsol | relaxed

abc: 3.813 3.813 7.877
angles: 104.01 104.01 90.00
Sites, in units of the cell vectors:
Pt  0.750  0.250  0.500
Sb  0.619  0.619  0.238
Pt  0.250  0.750  0.500
Sb  0.381  0.381  0.762
Se  0.000  0.000  0.000

Summary:
* energy relative to the elements, uncorrected: -0.180 eV per atom
* uncorrected energy: -5.558 eV/atom

---

(4)
SiSbPt2 | GGA-PBEsol | relaxed

abc: 4.573 4.573 4.573
angles: 60.00 60.00 60.00
Sites, in units of the cell vectors:
Pt  0.250  0.250  0.250
Pt  0.750  0.750  0.750
Si  0.500  0.500  0.500
Sb  0.000  0.000  0.000

Summary:
* energy relative to the elements, uncorrected: -0.055 eV per atom
* uncorrected energy: -6.112 eV/atom
* excess energy over the best structure of this formula in the dataset: 5.167 kcal/mol of atoms

---

(5)
SiSbPt2 | GGA-PBEsol | relaxed

abc: 3.027 3.027 7.324
angles: 90.00 90.00 90.00
Sites, in units of the cell vectors:
Pt  0.000  0.000  0.310
Si  0.500  0.500  0.500
Pt  0.000  0.000  0.690
Sb  0.500  0.500  0.000

Summary:
* energy relative to the elements, uncorrected: -0.279 eV per atom
* uncorrected energy: -6.336 eV/atom
* excess energy over the best structure of this formula in the dataset: 0.000 kcal/mol of atoms

---

(6)
Si2SbPt | GGA-PBEsol | relaxed

abc: 3.571 4.093 6.096
angles: 70.15 72.97 64.14
Sites, in units of the cell vectors:
Si  0.978  0.126  0.917
Si  0.745  0.775  0.736
Sb  0.278  0.153  0.290
Pt  0.499  0.446  0.557

Summary:
* energy relative to the elements, uncorrected: -0.110 eV per atom
* uncorrected energy: -5.863 eV/atom